[1]
Computed, not measured: an optimized crystal structure of PmAsPtAu at the PBE-GGA level of DFT.

* crystal system: cubic
* formation energy: -0.557 eV per atom

abc: 6.9270 6.9270 6.9270
angles: 90.00 90.00 90.00
Atoms (fractional coordinates):
Pm (0.0000, 0.0000, 0.0000)
Pm (0.0000, 0.5000, 0.5000)
Pm (0.5000, 0.0000, 0.5000)
Pm (0.5000, 0.5000, 0.0000)
As (0.0000, 0.0000, 0.5000)
As (0.0000, 0.5000, 0.0000)
As (0.5000, 0.0000, 0.0000)
As (0.5000, 0.5000, 0.5000)
Pt (0.2500, 0.2500, 0.7500)
Pt (0.2500, 0.7500, 0.2500)
Pt (0.7500, 0.2500, 0.2500)
Pt (0.7500, 0.7500, 0.7500)
Au (0.2500, 0.2500, 0.2500)
Au (0.2500, 0.7500, 0.7500)
Au (0.7500, 0.2500, 0.7500)
Au (0.7500, 0.7500, 0.2500)

[2]
Computed, not measured: an optimized crystal structure of SmGdCuSb at the PBE-GGA level of DFT.

* crystal system: cubic
* ΔE_f (raw): -196 kJ/mol of formula units

abc: 7.3723 7.3723 7.3723
angles: 90.00 90.00 90.00
Atoms (fractional coordinates):
Sm (0.0000, 0.0000, 0.0000)
Sm (0.0000, 0.5000, 0.5000)
Sm (0.5000, 0.0000, 0.5000)
Sm (0.5000, 0.5000, 0.0000)
Gd (0.0000, 0.0000, 0.5000)
Gd (0.0000, 0.5000, 0.0000)
Gd (0.5000, 0.0000, 0.0000)
Gd (0.5000, 0.5000, 0.5000)
Cu (0.2500, 0.2500, 0.7500)
Cu (0.2500, 0.7500, 0.2500)
Cu (0.7500, 0.2500, 0.2500)
Cu (0.7500, 0.7500, 0.7500)
Sb (0.2500, 0.2500, 0.2500)
Sb (0.2500, 0.7500, 0.7500)
Sb (0.7500, 0.2500, 0.7500)
Sb (0.7500, 0.7500, 0.2500)

[3]
Computed, not measured: an optimized crystal structure of Sc2TlTe at the PBE-GGA level of DFT.

* crystal system: orthorhombic
* ΔE_f (raw): -179 kJ/mol of formula units
* offset from the most stable computed form: 184 meV per atom

abc: 3.7044 4.7041 5.5923
angles: 90.00 90.00 90.00
Atoms (fractional coordinates):
Sc (0.0000, 0.0000, 0.0000)
Sc (0.0000, 0.5000, 0.5000)
Tl (0.5000, 0.0000, 0.5000)
Te (0.5000, 0.5000, 0.0000)

[4]
Computed, not measured: an optimized crystal structure of NaNdAgSn at the PBE-GGA level of DFT.

* crystal system: cubic
* formation energy: -0.343 eV per atom

abc: 7.4569 7.4569 7.4569
angles: 90.00 90.00 90.00
Atoms (fractional coordinates):
Na (0.0000, 0.0000, 0.0000)
Na (0.0000, 0.5000, 0.5000)
Na (0.5000, 0.0000, 0.5000)
Na (0.5000, 0.5000, 0.0000)
Nd (0.0000, 0.0000, 0.5000)
Nd (0.0000, 0.5000, 0.0000)
Nd (0.5000, 0.0000, 0.0000)
Nd (0.5000, 0.5000, 0.5000)
Ag (0.2500, 0.2500, 0.7500)
Ag (0.2500, 0.7500, 0.2500)
Ag (0.7500, 0.2500, 0.2500)
Ag (0.7500, 0.7500, 0.7500)
Sn (0.2500, 0.2500, 0.2500)
Sn (0.2500, 0.7500, 0.7500)
Sn (0.7500, 0.2500, 0.7500)
Sn (0.7500, 0.7500, 0.2500)

[5]
Computed, not measured: an optimized crystal structure of AcY4Ho2 at the PBE-GGA level of DFT.

* crystal system: triclinic
* offset from the most stable computed form: 6 meV per atom
* formation energy: 0.048 eV per atom

abc: 7.1812 8.7308 8.9504
angles: 114.81 101.30 101.70
Atoms (fractional coordinates):
Ac (0.0000, 0.0000, 0.0000)
Ac (0.3042, 0.6784, 0.5615)
Y (0.0260, 0.8347, 0.2926)
Y (0.1095, 0.5617, 0.8874)
Y (0.3903, 0.4131, 0.1469)
Y (0.4160, 0.2380, 0.4258)
Y (0.5088, 0.0155, 0.0189)
Y (0.6110, 0.5627, 0.8838)
Y (0.7072, 0.1283, 0.7121)
Y (0.9103, 0.2422, 0.4265)
Ho (0.2140, 0.1399, 0.7161)
Ho (0.5264, 0.8333, 0.2818)
Ho (0.7966, 0.6683, 0.5383)
Ho (0.8832, 0.4125, 0.1435)

[6]
Computed, not measured: an optimized crystal structure of Pr3HoCl at the PBE-GGA level of DFT.

* crystal system: cubic
* ΔE_f (raw): -237 kJ/mol of formula units

abc: 5.5059 5.5059 5.5059
angles: 90.00 90.00 90.00
Atoms (fractional coordinates):
Pr (0.0000, 0.0000, 0.5000)
Pr (0.0000, 0.5000, 0.0000)
Pr (0.5000, 0.0000, 0.0000)
Ho (0.5000, 0.5000, 0.5000)
Cl (0.0000, 0.0000, 0.0000)

[7]
Computed, not measured: an optimized crystal structure of SrZnCd at the PBE-GGA level of DFT.

* crystal system: monoclinic
* formation energy: -0.283 eV per atom

abc: 11.1436 4.8434 7.8243
angles: 90.00 130.32 90.00
Atoms (fractional coordinates):
Sr (0.0564, 0.0000, 0.3033)
Sr (0.4436, 0.5000, 0.6967)
Sr (0.5564, 0.5000, 0.3033)
Sr (0.9436, 0.0000, 0.6967)
Zn (0.1453, 0.5000, 0.6979)
Zn (0.3547, 0.0000, 0.3021)
Zn (0.6453, 0.0000, 0.6979)
Zn (0.8547, 0.5000, 0.3021)
Cd (0.1772, 0.5000, 0.1042)
Cd (0.3228, 0.0000, 0.8958)
Cd (0.6772, 0.0000, 0.1042)
Cd (0.8228, 0.5000, 0.8958)

[8]
Computed, not measured: an optimized crystal structure of Tb7Dy4Th at the PBE-GGA level of DFT.

* crystal system: triclinic
* offset from the most stable computed form: 0 meV per atom
* formation energy: 0.004 eV per atom

abc: 6.2055 7.1725 8.8514
angles: 89.98 76.40 90.00
Atoms (fractional coordinates):
Tb (0.0000, 0.0000, 0.0000)
Tb (0.2195, 0.4999, 0.3305)
Tb (0.2757, 0.2512, 0.6679)
Tb (0.4997, 0.2540, 0.0002)
Tb (0.5003, 0.7460, 0.9998)
Tb (0.7243, 0.7488, 0.3321)
Tb (0.7805, 0.5001, 0.6695)
Dy (0.2222, 0.9999, 0.3365)
Dy (0.2753, 0.7491, 0.6682)
Dy (0.7247, 0.2509, 0.3318)
Dy (0.7778, 0.0001, 0.6635)
Th (0.0000, 0.5000, 0.0000)

[9]
Computed, not measured: an optimized crystal structure of TbCu6Ni2 at the PBE-GGA level of DFT.

* crystal system: orthorhombic
* formation energy: 0.098 eV per atom

abc: 6.6350 6.6350 6.6350
angles: 141.16 134.88 61.02
Atoms (fractional coordinates):
Tb (0.0000, 0.0000, 0.0000)
Cu (0.0502, 0.2946, 0.7556)
Cu (0.2817, 0.5000, 0.7817)
Cu (0.4610, 0.7054, 0.7556)
Cu (0.5390, 0.2946, 0.2444)
Cu (0.7183, 0.5000, 0.2183)
Cu (0.9498, 0.7054, 0.2444)
Ni (0.3919, 0.8919, 0.5000)
Ni (0.6081, 0.1081, 0.5000)

[10]
Computed, not measured: an optimized crystal structure of La8Te4P3Cl at the PBE-GGA level of DFT.

* crystal system: trigonal
* ΔE_f (raw): -2559 kJ/mol of formula units

abc: 8.9510 8.9510 8.9510
angles: 58.29 58.29 58.29
Atoms (fractional coordinates):
La (0.2274, 0.7448, 0.7448)
La (0.2380, 0.2380, 0.2380)
La (0.2552, 0.2552, 0.7726)
La (0.2552, 0.7726, 0.2552)
La (0.7448, 0.2274, 0.7448)
La (0.7448, 0.7448, 0.2274)
La (0.7620, 0.7620, 0.7620)
La (0.7726, 0.2552, 0.2552)
Te (0.0000, 0.0000, 0.0000)
Te (0.0000, 0.5000, 0.5000)
Te (0.5000, 0.0000, 0.5000)
Te (0.5000, 0.5000, 0.0000)
P (0.0000, 0.0000, 0.5000)
P (0.0000, 0.5000, 0.0000)
P (0.5000, 0.0000, 0.0000)
Cl (0.5000, 0.5000, 0.5000)

[11]
Computed, not measured: an optimized crystal structure of PmTmTc2O8 at the PBE-GGA level of DFT.

* crystal system: tetragonal
* ΔE_f (raw): -2592 kJ/mol of formula units

abc: 6.7307 6.7307 6.7307
angles: 134.34 134.34 66.55
Atoms (fractional coordinates):
Pm (0.0000, 0.0000, 0.0000)
Tm (0.2500, 0.7500, 0.5000)
Tc (0.5000, 0.5000, 0.0000)
Tc (0.7500, 0.2500, 0.5000)
O (0.0107, 0.0831, 0.4244)
O (0.2483, 0.6644, 0.0915)
O (0.3356, 0.4271, 0.5839)
O (0.4138, 0.9893, 0.0725)
O (0.5729, 0.1568, 0.9085)
O (0.6587, 0.5862, 0.5756)
O (0.8432, 0.7517, 0.4161)
O (0.9169, 0.3413, 0.9275)

[12]
Computed, not measured: an optimized crystal structure of Na4Te3PdS8 at the PBE-GGA level of DFT.

* crystal system: monoclinic
* ΔE_f (raw): -696 kJ/mol of formula units

abc: 8.3085 8.3085 7.6822
angles: 112.55 112.55 53.69
Atoms (fractional coordinates):
Na (0.0000, 0.0000, 0.0000)
Na (0.0000, 0.5000, 0.5000)
Na (0.5000, 0.0000, 0.5000)
Na (0.5000, 0.5000, 0.0000)
Te (0.0000, 0.0000, 0.5000)
Te (0.0000, 0.5000, 0.0000)
Te (0.5000, 0.0000, 0.0000)
Pd (0.5000, 0.5000, 0.5000)
S (0.2022, 0.2022, 0.1915)
S (0.2279, 0.6777, 0.2555)
S (0.2876, 0.2876, 0.7961)
S (0.3223, 0.7721, 0.7445)
S (0.6777, 0.2279, 0.2555)
S (0.7124, 0.7124, 0.2039)
S (0.7721, 0.3223, 0.7445)
S (0.7978, 0.7978, 0.8085)

[13]
Computed, not measured: an optimized crystal structure of KCa4Tl at the PBE-GGA level of DFT.

* crystal system: cubic
* formation energy: 0.200 eV per atom

abc: 7.2320 7.2320 7.2320
angles: 60.00 60.00 60.00
Atoms (fractional coordinates):
K (0.0000, 0.0000, 0.0000)
Ca (0.3759, 0.3759, 0.3759)
Ca (0.3759, 0.3759, 0.8722)
Ca (0.3759, 0.8722, 0.3759)
Ca (0.8722, 0.3759, 0.3759)
Tl (0.7500, 0.7500, 0.7500)

[14]
Computed, not measured: an optimized crystal structure of La8Tb2Mg at the PBE-GGA level of DFT.

* crystal system: monoclinic
* offset from the most stable computed form: 0 meV per atom
* formation energy: 0.046 eV per atom

abc: 9.1278 9.1278 9.0880
angles: 118.59 118.59 36.72
Atoms (fractional coordinates):
La (0.0691, 0.0691, 0.2192)
La (0.1277, 0.1277, 0.6679)
La (0.3188, 0.3188, 0.5578)
La (0.4164, 0.4164, 0.0618)
La (0.5836, 0.5836, 0.9382)
La (0.6812, 0.6812, 0.4422)
La (0.8723, 0.8723, 0.3321)
La (0.9309, 0.9309, 0.7808)
Tb (0.2333, 0.2333, 0.1048)
Tb (0.7667, 0.7667, 0.8952)
Mg (0.5000, 0.5000, 0.5000)

[15]
Computed, not measured: an optimized crystal structure of Na2UVN4 at the PBE-GGA level of DFT.

* crystal system: monoclinic
* ΔE_f (raw): -618 kJ/mol of formula units

abc: 5.4166 3.3768 5.8664
angles: 90.00 106.23 90.00
Atoms (fractional coordinates):
Na (0.0000, 0.0000, 0.0000)
Na (0.5000, 0.5000, 0.0000)
U (0.0000, 0.5000, 0.5000)
V (0.5000, 0.0000, 0.5000)
N (0.2514, 0.0000, 0.6889)
N (0.2714, 0.5000, 0.3172)
N (0.7286, 0.5000, 0.6828)
N (0.7486, 0.0000, 0.3111)

[16]
Computed, not measured: an optimized crystal structure of YPb2F6 at the PBE-GGA level of DFT.

* crystal system: monoclinic
* ΔE_f (raw): -2430 kJ/mol of formula units

abc: 7.6001 7.6001 7.5160
angles: 106.71 106.71 26.26
Atoms (fractional coordinates):
Y (0.0000, 0.0000, 0.0000)
Pb (0.1477, 0.1477, 0.5885)
Pb (0.8523, 0.8523, 0.4115)
F (0.0205, 0.0205, 0.3013)
F (0.3114, 0.3114, 0.6284)
F (0.4080, 0.4080, 0.0090)
F (0.5920, 0.5920, 0.9910)
F (0.6886, 0.6886, 0.3716)
F (0.9795, 0.9795, 0.6987)

[17]
Computed, not measured: an optimized crystal structure of CrNiMo2W at the PBE-GGA level of DFT.

* crystal system: tetragonal
* formation energy: 1.425 eV per atom

abc: 4.5016 4.5016 4.0438
angles: 90.00 90.00 90.00
Atoms (fractional coordinates):
Cr (0.0000, 0.0000, 0.0000)
Ni (0.0000, 0.0000, 0.5000)
Mo (0.0000, 0.5000, 0.5000)
Mo (0.5000, 0.0000, 0.5000)
W (0.5000, 0.5000, 0.0000)

[18]
Computed, not measured: an optimized crystal structure of InGa6Ir at the PBE-GGA level of DFT.

* crystal system: monoclinic
* formation energy: -0.093 eV per atom

abc: 6.9206 8.7295 5.5052
angles: 90.00 112.82 90.00
Atoms (fractional coordinates):
In (0.0000, 0.0000, 0.0000)
In (0.5000, 0.5000, 0.0000)
Ga (0.0938, 0.5000, 0.2838)
Ga (0.1495, 0.2549, 0.7461)
Ga (0.1495, 0.7451, 0.7461)
Ga (0.3505, 0.2451, 0.2539)
Ga (0.3505, 0.7549, 0.2539)
Ga (0.4062, 0.0000, 0.7162)
Ga (0.5938, 0.0000, 0.2838)
Ga (0.6495, 0.2451, 0.7461)
Ga (0.6495, 0.7549, 0.7461)
Ga (0.8505, 0.2549, 0.2539)
Ga (0.8505, 0.7451, 0.2539)
Ga (0.9062, 0.5000, 0.7162)
Ir (0.0000, 0.0000, 0.5000)
Ir (0.5000, 0.5000, 0.5000)

[19]
Computed, not measured: an optimized crystal structure of Ti4VMo at the PBE-GGA level of DFT.

* crystal system: tetragonal
* offset from the most stable computed form: 390 meV per atom
* formation energy: 0.617 eV per atom

abc: 4.2932 4.2932 5.9890
angles: 90.00 90.00 90.00
Atoms (fractional coordinates):
Ti (0.0000, 0.5000, 0.2459)
Ti (0.0000, 0.5000, 0.7541)
Ti (0.5000, 0.0000, 0.2459)
Ti (0.5000, 0.0000, 0.7541)
V (0.0000, 0.0000, 0.0000)
Mo (0.5000, 0.5000, 0.5000)

[20]
Computed, not measured: an optimized crystal structure of AsPb3 at the PBE-GGA level of DFT.

* crystal system: cubic
* offset from the most stable computed form: 140 meV per atom
* formation energy: 0.179 eV per atom

abc: 6.1536 6.1536 6.1536
angles: 90.00 90.00 90.00
Atoms (fractional coordinates):
As (0.0000, 0.0000, 0.0000)
As (0.5000, 0.5000, 0.5000)
Pb (0.0000, 0.2500, 0.5000)
Pb (0.0000, 0.7500, 0.5000)
Pb (0.2500, 0.5000, 0.0000)
Pb (0.5000, 0.0000, 0.2500)
Pb (0.5000, 0.0000, 0.7500)
Pb (0.7500, 0.5000, 0.0000)

[21]
Computed, not measured: an optimized crystal structure of KRb2CdI at the PBE-GGA level of DFT.

* crystal system: tetragonal
* ΔE_f (raw): -116 kJ/mol of formula units

abc: 7.0172 7.0172 7.0151
angles: 90.00 90.00 90.00
Atoms (fractional coordinates):
K (0.0000, 0.0000, 0.0000)
Rb (0.0000, 0.5000, 0.5000)
Rb (0.5000, 0.0000, 0.5000)
Cd (0.5000, 0.5000, 0.5000)
I (0.5000, 0.5000, 0.0000)

[22]
Computed, not measured: an optimized crystal structure of TcPRh2 at the PBE-GGA level of DFT.

* crystal system: orthorhombic
* formation energy: -0.294 eV per atom

abc: 3.7163 2.8626 10.4080
angles: 90.00 90.00 90.00
Atoms (fractional coordinates):
Tc (0.0000, 0.0000, 0.0000)
Tc (0.0000, 0.5000, 0.5000)
P (0.5000, 0.0000, 0.1509)
P (0.5000, 0.5000, 0.6509)
Rh (0.0000, 0.0000, 0.7288)
Rh (0.0000, 0.5000, 0.2288)
Rh (0.5000, 0.0000, 0.3790)
Rh (0.5000, 0.5000, 0.8790)

[23]
Computed, not measured: an optimized crystal structure of SrLi2Cl4 at the PBE-GGA level of DFT.

* crystal system: orthorhombic
* ΔE_f (raw): -1397 kJ/mol of formula units
* offset from the most stable computed form: 4 meV per atom

abc: 6.5137 6.5137 12.5011
angles: 90.00 90.00 144.62
Atoms (fractional coordinates):
Sr (0.1107, 0.8893, 0.7500)
Sr (0.8893, 0.1107, 0.2500)
Li (0.3735, 0.6265, 0.5586)
Li (0.3735, 0.6265, 0.9414)
Li (0.6265, 0.3735, 0.0586)
Li (0.6265, 0.3735, 0.4414)
Cl (0.0000, 0.0000, 0.0000)
Cl (0.0000, 0.0000, 0.5000)
Cl (0.2783, 0.7217, 0.1125)
Cl (0.2783, 0.7217, 0.3875)
Cl (0.4389, 0.5611, 0.7500)
Cl (0.5611, 0.4389, 0.2500)
Cl (0.7217, 0.2783, 0.6125)
Cl (0.7217, 0.2783, 0.8875)

[24]
Computed, not measured: an optimized crystal structure of HoPaOsRu at the PBE-GGA level of DFT.

* crystal system: monoclinic
* formation energy: -0.380 eV per atom

abc: 7.9470 4.5975 5.2125
angles: 90.00 120.49 90.00
Atoms (fractional coordinates):
Ho (0.0000, 0.0000, 0.0000)
Ho (0.5000, 0.5000, 0.0000)
Pa (0.0015, 0.5000, 0.5047)
Pa (0.5015, 0.0000, 0.5047)
Os (0.2707, 0.5000, 0.3135)
Os (0.7707, 0.0000, 0.3135)
Ru (0.2230, 0.0000, 0.6667)
Ru (0.7230, 0.5000, 0.6667)

[25]
Computed, not measured: an optimized crystal structure of DyEr2Co at the PBE-GGA level of DFT.

* crystal system: tetragonal
* offset from the most stable computed form: 103 meV per atom
* formation energy: -0.077 eV per atom

abc: 3.3642 3.3642 8.7703
angles: 90.00 90.00 90.00
Atoms (fractional coordinates):
Dy (0.0000, 0.0000, 0.0000)
Er (0.5000, 0.5000, 0.3172)
Er (0.5000, 0.5000, 0.6828)
Co (0.0000, 0.0000, 0.5000)